Entry from the Alexandria database: a relaxed Na3CaCu crystal (PBE).

extended XYZ file:
```
5
Lattice="6.4446 0.0000 0.0000 0.0000 6.4446 0.0000 0.0000 0.0000 6.4446" Properties=species:S:1:pos:R:3 pbc="T T T"
Cu 3.2223 3.2223 3.2223
Na 0.0000 3.2223 0.0000
Na 3.2223 0.0000 0.0000
Ca 0.0000 0.0000 0.0000
Na 0.0000 0.0000 3.2223
```

total magnetization	0.0	μB per formula unit
D(E_F)	7.505	states/eV/cell
energy relative to the elements	0.9800	eV/atom
distance to the lowest polymorph of the same formula	67.0	kJ per mole of atoms